La2Ce2N5 after structural relaxation. Source: Alexandria via LeMat-Bulk, functional PBE.

Geometry as POSCAR:
```
La2Ce2N5
1.0
6.728 0.000 0.000
0.000 6.717 0.000
0.000 -3.359 6.169
La Ce N
4 4 10
Cartesian
0.000 0.000 2.512 La
3.364 3.359 2.512 La
0.000 3.359 3.657 La
3.364 0.000 3.657 La
4.449 5.628 0.000 Ce
2.280 1.089 0.000 Ce
1.084 4.448 0.000 Ce
5.644 2.270 0.000 Ce
0.000 0.000 0.000 N
3.364 3.359 0.000 N
5.678 4.466 1.571 N
1.050 2.251 1.571 N
2.314 5.610 1.571 N
4.415 1.107 1.571 N
1.050 -1.107 4.598 N
5.678 1.107 4.598 N
4.415 -2.251 4.598 N
2.314 2.251 4.598 N
```

formation energy from raw total energies: -1.17 eV/atom